Crystalline BeGaSe3 at its relaxed geometry. Source: Alexandria via LeMat-Bulk, functional PBE.

Output
Polymorph energy (0 for the lowest one) = 0 meV/atom
Fermi-level density of states = 6.39 states/eV/f.u.

Cell: 4.6866 4.6866 4.6866 Å, 90.00 90.00 90.00°
Closest atoms and distances in Å follow each position.
Positions (direct):
Be  0.0000  0.0000  0.0000  6 Se 2.34
Ga  0.5000  0.5000  0.5000  12 Se 3.31
Se  0.0000  0.5000  0.0000  2 Be 2.34
Se  0.0000  0.0000  0.5000  2 Be 2.34
Se  0.5000  0.0000  0.0000  2 Be 2.34


Crystalline BeGaSe at its relaxed geometry. Source: Alexandria via LeMat-Bulk, functional PBE.

Output
Polymorph energy (0 for the lowest one) = 0 meV/atom
Fermi-level density of states = 0.37 states/eV/f.u.

Cell: 3.6151 3.6167 11.7366 Å, 89.58 89.78 89.97°
Closest atoms and distances in Å follow each position.
Positions (direct):
Be  0.5623  0.2744  0.4186  4 Se 2.26
Be  0.0625  0.7744  0.4187  4 Se 2.26
Ga  0.0583  0.3877  0.8835  4 Ga 2.66
Ga  0.5575  0.8863  0.9467  4 Ga 2.66
Se  0.5639  0.7772  0.3027  4 Be 2.26
Se  0.0608  0.2718  0.5345  4 Be 2.26


Crystalline BeGa3Se at its relaxed geometry. Source: Alexandria via LeMat-Bulk, functional PBE.

Output
Polymorph energy (0 for the lowest one) = 0 meV/atom
Fermi-level density of states = 1.30 states/eV/f.u.

Cell: 4.5563 4.5563 4.5563 Å, 90.00 90.00 90.00°
Closest atoms and distances in Å follow each position.
Positions (direct):
Be  0.0000  0.0000  0.0000  6 Ga 2.28
Ga  0.0000  0.5000  0.0000  2 Be 2.28
Ga  0.0000  0.0000  0.5000  2 Be 2.28
Ga  0.5000  0.0000  0.0000  2 Be 2.28
Se  0.5000  0.5000  0.5000  12 Ga 3.22


Crystalline BeGa2Se4 at its relaxed geometry. Source: Alexandria via LeMat-Bulk, functional PBE.

Output
Total energy = -4.036 eV/atom

Cell: 5.4644 5.4644 5.3548 Å, 90.00 90.00 90.00°
Closest atoms and distances in Å follow each position.
Positions (direct):
Be  0.0000  0.0000  0.0000  4 Se 2.28
Ga  0.5000  0.0000  0.5000  4 Se 2.45
Ga  0.0000  0.5000  0.5000  4 Se 2.45
Se  0.7460  0.2540  0.7827  1 Be 2.28, 2 Ga 2.45
Se  0.2540  0.2540  0.2173  1 Be 2.28, 2 Ga 2.45
Se  0.2540  0.7460  0.7827  1 Be 2.28, 2 Ga 2.45
Se  0.7460  0.7460  0.2173  1 Be 2.28, 2 Ga 2.45


Crystalline BeGa3Se at its relaxed geometry. Source: Alexandria via LeMat-Bulk, functional PBE.

Output
Polymorph energy (0 for the lowest one) = 847 meV/atom
Fermi-level density of states = 2.20 states/eV/f.u.

Cell: 5.0381 5.0381 5.0381 Å, 90.00 90.00 90.00°
Closest atoms and distances in Å follow each position.
Positions (direct):
Be  0.5000  0.5000  0.5000  12 Ga 3.56
Ga  0.0000  0.5000  0.0000  2 Se 2.52
Ga  0.0000  0.0000  0.5000  2 Se 2.52
Ga  0.5000  0.0000  0.0000  2 Se 2.52
Se  0.0000  0.0000  0.0000  6 Ga 2.52


Crystalline BeGaSe at its relaxed geometry. Source: Alexandria via LeMat-Bulk, functional PBE.

Output
Polymorph energy (0 for the lowest one) = 94 meV/atom
Fermi-level density of states = 0.99 states/eV/f.u.

Cell: 5.9380 3.5474 6.3519 Å, 90.00 92.57 90.00°
Closest atoms and distances in Å follow each position.
Positions (direct):
Be  0.6638  0.2500  0.5598  3 Se 2.20-2.27, 1 Ga 2.34
Be  0.3362  0.7500  0.4402  3 Se 2.20-2.27, 1 Ga 2.34
Ga  0.9165  0.2500  0.8538  1 Be 2.34
Ga  0.0835  0.7500  0.1462  1 Be 2.34
Se  0.2951  0.2500  0.6386  3 Be 2.20-2.27
Se  0.7049  0.7500  0.3614  3 Be 2.20-2.27


Crystalline BeGa2WSe at its relaxed geometry. Source: Alexandria via LeMat-Bulk, functional PBE.

Output
Fermi-level density of states = 4.07 states/eV/f.u.
Total energy = -4.529 eV/atom

Cell: 4.3046 4.5546 4.3046 Å, 90.00 90.00 90.00°
Closest atoms and distances in Å follow each position.
Positions (direct):
Be  0.0000  0.0000  0.0000  4 Ga 2.15, 2 W 2.28
Ga  0.0000  0.0000  0.5000  2 Be 2.15
Ga  0.5000  0.0000  0.0000  2 Be 2.15
Se  0.5000  0.5000  0.5000  4 W 3.04, 8 Ga 3.13
W  0.0000  0.5000  0.0000  2 Be 2.28


Crystalline BeGa2Si at its relaxed geometry. Source: Alexandria via LeMat-Bulk, functional PBE.

Output
Polymorph energy (0 for the lowest one) = 87 meV/atom
Fermi-level density of states = 1.81 states/eV/f.u.

Cell: 4.4225 4.4225 4.4225 Å, 60.00 60.00 60.00°
Closest atoms and distances in Å follow each position.
Positions (direct):
Be  0.0000  0.0000  0.0000  8 Ga 2.71
Si  0.5000  0.5000  0.5000  8 Ga 2.71
Ga  0.2500  0.2500  0.2500  4 Si 2.71, 4 Be 2.71
Ga  0.7500  0.7500  0.7500  4 Si 2.71, 4 Be 2.71